No. 1
# PBE LaPaTcNi, relaxed
data_LaPaTcNi
_cell_length_a 4.9079
_cell_length_b 4.9079
_cell_length_c 4.9079
_cell_angle_alpha 60.00
_cell_angle_beta 60.00
_cell_angle_gamma 60.00
_symmetry_space_group_name_H-M 'P 1'
_symmetry_Int_Tables_number 1
loop_
_symmetry_equiv_pos_as_xyz
'x,y,z'
loop_
_atom_site_label
_atom_site_type_symbol
_atom_site_fract_x
_atom_site_fract_y
_atom_site_fract_z
Ni1 Ni 0.7500 0.7500 0.7500
Pa1 Pa 0.0000 0.0000 0.0000
Tc1 Tc 0.2500 0.2500 0.2500
La1 La 0.5000 0.5000 0.5000
# - magnetization (μB per atom) = 0.000
# - E (eV/atom) = -7.649
# - formation energy (meV/atom) = -6.0

No. 2
# PBE LaNi4Pb, relaxed
data_LaNi4Pb
_cell_length_a 5.1537
_cell_length_b 5.1537
_cell_length_c 5.1537
_cell_angle_alpha 60.00
_cell_angle_beta 60.00
_cell_angle_gamma 60.00
_symmetry_space_group_name_H-M 'P 1'
_symmetry_Int_Tables_number 1
loop_
_symmetry_equiv_pos_as_xyz
'x,y,z'
loop_
_atom_site_label
_atom_site_type_symbol
_atom_site_fract_x
_atom_site_fract_y
_atom_site_fract_z
La1 La 0.0000 0.0000 0.0000
Ni1 Ni 0.8723 0.3759 0.3759
Ni2 Ni 0.3759 0.3759 0.8723
Ni3 Ni 0.3759 0.8723 0.3759
Ni4 Ni 0.3759 0.3759 0.3759
Pb1 Pb 0.7500 0.7500 0.7500
# - magnetization (μB per atom) = 0.000
# - E (eV/atom) = -5.480
# - formation energy (meV/atom) = -186.4

No. 3
# PBE La2NiPb2, relaxed
data_La2NiPb2
_cell_length_a 7.3334
_cell_length_b 7.3334
_cell_length_c 5.2204
_cell_angle_alpha 90.00
_cell_angle_beta 90.00
_cell_angle_gamma 90.00
_symmetry_space_group_name_H-M 'P 1'
_symmetry_Int_Tables_number 1
loop_
_symmetry_equiv_pos_as_xyz
'x,y,z'
loop_
_atom_site_label
_atom_site_type_symbol
_atom_site_fract_x
_atom_site_fract_y
_atom_site_fract_z
Pb1 Pb 0.3492 0.8492 0.0000
Pb2 Pb 0.8492 0.6508 0.0000
Pb3 Pb 0.6508 0.1508 0.0000
Pb4 Pb 0.1508 0.3492 0.0000
Ni1 Ni 0.0000 0.0000 0.0000
Ni2 Ni 0.5000 0.5000 0.0000
La1 La 0.1684 0.6684 0.5000
La2 La 0.6684 0.8316 0.5000
La3 La 0.8316 0.3316 0.5000
La4 La 0.3316 0.1684 0.5000
# - magnetization (μB per atom) = 0.000
# - E (eV/atom) = -4.927
# - formation energy (meV/atom) = -316.3

No. 4
# PBE La2NiPb, relaxed
data_La2NiPb
_cell_length_a 6.1183
_cell_length_b 6.1183
_cell_length_c 6.1183
_cell_angle_alpha 136.37
_cell_angle_beta 136.37
_cell_angle_gamma 63.40
_symmetry_space_group_name_H-M 'P 1'
_symmetry_Int_Tables_number 1
loop_
_symmetry_equiv_pos_as_xyz
'x,y,z'
loop_
_atom_site_label
_atom_site_type_symbol
_atom_site_fract_x
_atom_site_fract_y
_atom_site_fract_z
La1 La 0.0000 0.0000 0.0000
La2 La 0.2500 0.7500 0.5000
Ni1 Ni 0.5000 0.5000 0.0000
Pb1 Pb 0.7500 0.2500 0.5000
# - magnetization (μB per atom) = 0.000
# - E (eV/atom) = -5.053
# - formation energy (meV/atom) = -216.4

No. 5
# PBE La4NiPb2, relaxed
data_La4NiPb2
_cell_length_a 6.7059
_cell_length_b 7.0719
_cell_length_c 10.3509
_cell_angle_alpha 90.00
_cell_angle_beta 113.18
_cell_angle_gamma 90.00
_symmetry_space_group_name_H-M 'P 1'
_symmetry_Int_Tables_number 1
loop_
_symmetry_equiv_pos_as_xyz
'x,y,z'
loop_
_atom_site_label
_atom_site_type_symbol
_atom_site_fract_x
_atom_site_fract_y
_atom_site_fract_z
La1 La 0.4867 0.4954 0.2556
La2 La 0.1002 0.7500 0.9014
La3 La 0.8998 0.2500 0.0986
La4 La 0.4867 0.0046 0.2556
La5 La 0.9067 0.2500 0.6029
La6 La 0.5133 0.9954 0.7444
La7 La 0.5133 0.5046 0.7444
La8 La 0.0933 0.7500 0.3971
Ni1 Ni 0.1395 0.7500 0.1605
Ni2 Ni 0.8605 0.2500 0.8395
Pb1 Pb 0.7028 0.7500 0.0550
Pb2 Pb 0.2972 0.2500 0.9450
Pb3 Pb 0.2547 0.2500 0.4417
Pb4 Pb 0.7453 0.7500 0.5583
# - magnetization (μB per atom) = 0.000
# - E (eV/atom) = -5.152
# - formation energy (meV/atom) = -450.7

No. 6
# PBE LaNiPb2, relaxed
data_LaNiPb2
_cell_length_a 5.2456
_cell_length_b 5.2456
_cell_length_c 5.2456
_cell_angle_alpha 60.00
_cell_angle_beta 60.00
_cell_angle_gamma 60.00
_symmetry_space_group_name_H-M 'P 1'
_symmetry_Int_Tables_number 1
loop_
_symmetry_equiv_pos_as_xyz
'x,y,z'
loop_
_atom_site_label
_atom_site_type_symbol
_atom_site_fract_x
_atom_site_fract_y
_atom_site_fract_z
Pb1 Pb 0.2500 0.2500 0.2500
Pb2 Pb 0.7500 0.7500 0.7500
Ni1 Ni 0.0000 0.0000 0.0000
La1 La 0.5000 0.5000 0.5000
# - magnetization (μB per atom) = 0.000
# - E (eV/atom) = -4.549
# - formation energy (meV/atom) = -17.6

No. 7
# PBE La3NiPb, relaxed
data_La3NiPb
_cell_length_a 6.9762
_cell_length_b 9.4887
_cell_length_c 9.4887
_cell_angle_alpha 78.78
_cell_angle_beta 90.00
_cell_angle_gamma 90.00
_symmetry_space_group_name_H-M 'P 1'
_symmetry_Int_Tables_number 1
loop_
_symmetry_equiv_pos_as_xyz
'x,y,z'
loop_
_atom_site_label
_atom_site_type_symbol
_atom_site_fract_x
_atom_site_fract_y
_atom_site_fract_z
La1 La 0.6497 0.8188 0.9599
La2 La 0.8503 0.0401 0.1812
La3 La 0.3503 0.1812 0.0401
La4 La 0.1497 0.9599 0.8188
La5 La 0.7881 0.4356 0.0644
La6 La 0.7119 0.9356 0.5644
La7 La 0.2119 0.5644 0.9356
La8 La 0.2881 0.0644 0.4356
La9 La 0.6497 0.5401 0.6812
La10 La 0.8503 0.3188 0.4599
La11 La 0.3503 0.4599 0.3188
La12 La 0.1497 0.6812 0.5401
Ni1 Ni 0.9162 0.7145 0.7855
Ni2 Ni 0.5838 0.2145 0.2855
Ni3 Ni 0.0838 0.2855 0.2145
Ni4 Ni 0.4162 0.7855 0.7145
Pb1 Pb 0.2500 0.8187 0.1813
Pb2 Pb 0.7500 0.1813 0.8187
Pb3 Pb 0.2500 0.3187 0.6813
Pb4 Pb 0.7500 0.6813 0.3187
# - magnetization (μB per atom) = 0.000
# - E (eV/atom) = -5.170
# - formation energy (meV/atom) = -315.5

No. 8
# PBE LaNiPb2, relaxed
data_LaNiPb2
_cell_length_a 3.5421
_cell_length_b 3.5421
_cell_length_c 8.3974
_cell_angle_alpha 90.00
_cell_angle_beta 90.00
_cell_angle_gamma 89.95
_symmetry_space_group_name_H-M 'P 1'
_symmetry_Int_Tables_number 1
loop_
_symmetry_equiv_pos_as_xyz
'x,y,z'
loop_
_atom_site_label
_atom_site_type_symbol
_atom_site_fract_x
_atom_site_fract_y
_atom_site_fract_z
La1 La 0.0000 0.0000 0.5586
Ni1 Ni 0.5000 0.5000 0.7457
Pb1 Pb 0.0000 0.0000 0.9536
Pb2 Pb 0.5000 0.5000 0.2421
# - magnetization (μB per atom) = 0.000
# - E (eV/atom) = -4.651
# - formation energy (meV/atom) = -119.5

No. 9
# PBE La2NiPb, relaxed
data_La2NiPb
_cell_length_a 8.3535
_cell_length_b 8.3535
_cell_length_c 6.7336
_cell_angle_alpha 51.66
_cell_angle_beta 51.66
_cell_angle_gamma 90.00
_symmetry_space_group_name_H-M 'P 1'
_symmetry_Int_Tables_number 1
loop_
_symmetry_equiv_pos_as_xyz
'x,y,z'
loop_
_atom_site_label
_atom_site_type_symbol
_atom_site_fract_x
_atom_site_fract_y
_atom_site_fract_z
Pb1 Pb 0.0000 0.0000 0.0000
Pb2 Pb 0.7500 0.2500 0.5000
Ni1 Ni 0.5000 0.5000 0.0000
Ni2 Ni 0.2500 0.7500 0.5000
La1 La 0.5610 0.1250 0.2500
La2 La 0.1890 0.6250 0.2500
La3 La 0.3750 0.4390 0.7500
La4 La 0.8750 0.8110 0.7500
# - magnetization (μB per atom) = 0.000
# - E (eV/atom) = -5.064
# - formation energy (meV/atom) = -228.2

No. 10
# PBE LaNiPb3, relaxed
data_LaNiPb3
_cell_length_a 6.1013
_cell_length_b 6.1013
_cell_length_c 6.1013
_cell_angle_alpha 90.00
_cell_angle_beta 90.00
_cell_angle_gamma 90.00
_symmetry_space_group_name_H-M 'P 1'
_symmetry_Int_Tables_number 1
loop_
_symmetry_equiv_pos_as_xyz
'x,y,z'
loop_
_atom_site_label
_atom_site_type_symbol
_atom_site_fract_x
_atom_site_fract_y
_atom_site_fract_z
Pb1 Pb 0.0000 0.5000 0.0000
Pb2 Pb 0.0000 0.0000 0.5000
Pb3 Pb 0.5000 0.0000 0.0000
Ni1 Ni 0.5000 0.5000 0.5000
La1 La 0.0000 0.0000 0.0000
# - magnetization (μB per atom) = 0.000
# - E (eV/atom) = -3.119
# - formation energy (meV/atom) = 1247.7

No. 11
# PBE LaNiPb2, relaxed
data_LaNiPb2
_cell_length_a 4.5416
_cell_length_b 4.5416
_cell_length_c 6.3563
_cell_angle_alpha 69.01
_cell_angle_beta 69.01
_cell_angle_gamma 60.15
_symmetry_space_group_name_H-M 'P 1'
_symmetry_Int_Tables_number 1
loop_
_symmetry_equiv_pos_as_xyz
'x,y,z'
loop_
_atom_site_label
_atom_site_type_symbol
_atom_site_fract_x
_atom_site_fract_y
_atom_site_fract_z
La1 La 0.7500 0.7500 0.7500
Ni1 Ni 0.2500 0.2500 0.2500
Pb1 Pb 0.9720 0.9720 0.0849
Pb2 Pb 0.5280 0.5280 0.4151
# - magnetization (μB per atom) = 0.000
# - E (eV/atom) = -4.791
# - formation energy (meV/atom) = -259.6

No. 12
# PBE LaNiPb2, relaxed
data_LaNiPb2
_cell_length_a 5.7453
_cell_length_b 5.7453
_cell_length_c 5.7453
_cell_angle_alpha 131.62
_cell_angle_beta 131.62
_cell_angle_gamma 70.83
_symmetry_space_group_name_H-M 'P 1'
_symmetry_Int_Tables_number 1
loop_
_symmetry_equiv_pos_as_xyz
'x,y,z'
loop_
_atom_site_label
_atom_site_type_symbol
_atom_site_fract_x
_atom_site_fract_y
_atom_site_fract_z
La1 La 0.5000 0.5000 0.0000
Ni1 Ni 0.7500 0.2500 0.5000
Pb1 Pb 0.0000 0.0000 0.0000
Pb2 Pb 0.2500 0.7500 0.5000
# - magnetization (μB per atom) = 0.000
# - E (eV/atom) = -4.615
# - formation energy (meV/atom) = -84.1

No. 13
# PBE LaNiPb2, relaxed
data_LaNiPb2
_cell_length_a 4.6990
_cell_length_b 4.6990
_cell_length_c 10.8558
_cell_angle_alpha 77.50
_cell_angle_beta 77.50
_cell_angle_gamma 90.00
_symmetry_space_group_name_H-M 'P 1'
_symmetry_Int_Tables_number 1
loop_
_symmetry_equiv_pos_as_xyz
'x,y,z'
loop_
_atom_site_label
_atom_site_type_symbol
_atom_site_fract_x
_atom_site_fract_y
_atom_site_fract_z
Pb1 Pb 0.5700 0.1250 0.2500
Pb2 Pb 0.1800 0.6250 0.2500
Pb3 Pb 0.3750 0.4300 0.7500
Pb4 Pb 0.8750 0.8200 0.7500
Ni1 Ni 0.5000 0.5000 0.0000
Ni2 Ni 0.2500 0.7500 0.5000
La1 La 0.0000 0.0000 0.0000
La2 La 0.7500 0.2500 0.5000
# - magnetization (μB per atom) = 0.000
# - E (eV/atom) = -4.480
# - formation energy (meV/atom) = 51.7

No. 14
# PBE LaNiPb2, relaxed
data_LaNiPb2
_cell_length_a 6.4302
_cell_length_b 6.4302
_cell_length_c 6.0243
_cell_angle_alpha 51.90
_cell_angle_beta 51.90
_cell_angle_gamma 34.57
_symmetry_space_group_name_H-M 'P 1'
_symmetry_Int_Tables_number 1
loop_
_symmetry_equiv_pos_as_xyz
'x,y,z'
loop_
_atom_site_label
_atom_site_type_symbol
_atom_site_fract_x
_atom_site_fract_y
_atom_site_fract_z
La1 La 0.4419 0.4419 0.4945
Ni1 Ni 0.7227 0.7227 0.9275
Pb1 Pb 0.0710 0.0710 0.8757
Pb2 Pb 0.2644 0.2644 0.2023
# - magnetization (μB per atom) = 0.000
# - E (eV/atom) = -4.717
# - formation energy (meV/atom) = -185.4

No. 15
# PBE La5Ni2Pb5, relaxed
data_La5Ni2Pb5
_cell_length_a 4.7953
_cell_length_b 8.8077
_cell_length_c 8.9065
_cell_angle_alpha 77.87
_cell_angle_beta 74.38
_cell_angle_gamma 74.20
_symmetry_space_group_name_H-M 'P 1'
_symmetry_Int_Tables_number 1
loop_
_symmetry_equiv_pos_as_xyz
'x,y,z'
loop_
_atom_site_label
_atom_site_type_symbol
_atom_site_fract_x
_atom_site_fract_y
_atom_site_fract_z
La1 La 0.5000 0.5000 0.5000
La2 La 0.3644 0.3362 0.9350
La3 La 0.3247 0.0228 0.3277
La4 La 0.6753 0.9772 0.6723
La5 La 0.6356 0.6638 0.0650
Ni1 Ni 0.8424 0.5612 0.7540
Ni2 Ni 0.1576 0.4388 0.2460
Pb1 Pb 0.9584 0.7428 0.3404
Pb2 Pb 0.2539 0.7233 0.7689
Pb3 Pb 0.7461 0.2767 0.2311
Pb4 Pb 0.0416 0.2572 0.6596
Pb5 Pb 0.0000 0.0000 0.0000
# - magnetization (μB per atom) = 0.000
# - E (eV/atom) = -5.062
# - formation energy (meV/atom) = -500.7

No. 16
# PBE La2NiPb, relaxed
data_La2NiPb
_cell_length_a 6.6534
_cell_length_b 6.6534
_cell_length_c 6.6534
_cell_angle_alpha 147.95
_cell_angle_beta 135.84
_cell_angle_gamma 55.59
_symmetry_space_group_name_H-M 'P 1'
_symmetry_Int_Tables_number 1
loop_
_symmetry_equiv_pos_as_xyz
'x,y,z'
loop_
_atom_site_label
_atom_site_type_symbol
_atom_site_fract_x
_atom_site_fract_y
_atom_site_fract_z
La1 La 0.0011 0.0011 0.0000
La2 La 0.6981 0.1981 0.5000
Ni1 Ni 0.4937 0.4937 0.0000
Pb1 Pb 0.3070 0.8070 0.5000
# - magnetization (μB per atom) = 0.000
# - E (eV/atom) = -5.177
# - formation energy (meV/atom) = -340.7

No. 17
# PBE LaNi3Pb, relaxed
data_LaNi3Pb
_cell_length_a 4.8105
_cell_length_b 4.8105
_cell_length_c 4.8105
_cell_angle_alpha 90.00
_cell_angle_beta 90.00
_cell_angle_gamma 90.00
_symmetry_space_group_name_H-M 'P 1'
_symmetry_Int_Tables_number 1
loop_
_symmetry_equiv_pos_as_xyz
'x,y,z'
loop_
_atom_site_label
_atom_site_type_symbol
_atom_site_fract_x
_atom_site_fract_y
_atom_site_fract_z
Pb1 Pb 0.0000 0.0000 0.0000
Ni1 Ni 0.0000 0.5000 0.0000
Ni2 Ni 0.0000 0.0000 0.5000
Ni3 Ni 0.5000 0.0000 0.0000
La1 La 0.5000 0.5000 0.5000
# - magnetization (μB per atom) = 0.000
# - E (eV/atom) = -4.785
# - formation energy (meV/atom) = 410.8

No. 18
# PBE La3NiPb2, relaxed
data_La3NiPb2
_cell_length_a 4.6380
_cell_length_b 12.3521
_cell_length_c 12.8735
_cell_angle_alpha 90.00
_cell_angle_beta 90.00
_cell_angle_gamma 90.00
_symmetry_space_group_name_H-M 'P 1'
_symmetry_Int_Tables_number 1
loop_
_symmetry_equiv_pos_as_xyz
'x,y,z'
loop_
_atom_site_label
_atom_site_type_symbol
_atom_site_fract_x
_atom_site_fract_y
_atom_site_fract_z
La1 La 0.2500 0.3716 0.0576
La2 La 0.7500 0.6284 0.9424
La3 La 0.7500 0.8716 0.4424
La4 La 0.2500 0.1284 0.5576
La5 La 0.2500 0.7013 0.2348
La6 La 0.7500 0.2987 0.7652
La7 La 0.7500 0.2013 0.2652
La8 La 0.2500 0.7987 0.7348
La9 La 0.2500 0.4522 0.3810
La10 La 0.7500 0.5478 0.6190
La11 La 0.7500 0.9522 0.1190
La12 La 0.2500 0.0478 0.8810
Ni1 Ni 0.2500 0.1356 0.1235
Ni2 Ni 0.7500 0.8644 0.8765
Ni3 Ni 0.7500 0.6356 0.3765
Ni4 Ni 0.2500 0.3644 0.6235
Pb1 Pb 0.2500 0.6929 0.4935
Pb2 Pb 0.7500 0.3071 0.5065
Pb3 Pb 0.7500 0.1929 0.0065
Pb4 Pb 0.2500 0.8071 0.9935
Pb5 Pb 0.2500 0.0046 0.3056
Pb6 Pb 0.7500 0.9954 0.6944
Pb7 Pb 0.7500 0.5046 0.1944
Pb8 Pb 0.2500 0.4954 0.8056
# - magnetization (μB per atom) = 0.124
# - E (eV/atom) = -5.189
# - formation energy (meV/atom) = -525.8

No. 19
# PBE La2NiPb, relaxed
data_La2NiPb
_cell_length_a 3.7956
_cell_length_b 3.7956
_cell_length_c 9.0522
_cell_angle_alpha 90.00
_cell_angle_beta 90.00
_cell_angle_gamma 90.00
_symmetry_space_group_name_H-M 'P 1'
_symmetry_Int_Tables_number 1
loop_
_symmetry_equiv_pos_as_xyz
'x,y,z'
loop_
_atom_site_label
_atom_site_type_symbol
_atom_site_fract_x
_atom_site_fract_y
_atom_site_fract_z
La1 La 0.0000 0.0000 0.0109
La2 La 0.5000 0.5000 0.4054
Ni1 Ni 0.0000 0.0000 0.3071
Pb1 Pb 0.5000 0.5000 0.7766
# - magnetization (μB per atom) = 0.000
# - E (eV/atom) = -4.954
# - formation energy (meV/atom) = -117.5

No. 20
# PBE La4Ni3Pb4, relaxed
data_La4Ni3Pb4
_cell_length_a 6.7060
_cell_length_b 6.7060
_cell_length_c 6.7060
_cell_angle_alpha 95.68
_cell_angle_beta 95.68
_cell_angle_gamma 95.68
_symmetry_space_group_name_H-M 'P 1'
_symmetry_Int_Tables_number 1
loop_
_symmetry_equiv_pos_as_xyz
'x,y,z'
loop_
_atom_site_label
_atom_site_type_symbol
_atom_site_fract_x
_atom_site_fract_y
_atom_site_fract_z
La1 La 0.4289 0.1663 0.6595
La2 La 0.6595 0.4289 0.1663
La3 La 0.8690 0.8690 0.8690
La4 La 0.1663 0.6595 0.4289
Ni1 Ni 0.4600 0.6284 0.7448
Ni2 Ni 0.6284 0.7448 0.4600
Ni3 Ni 0.7448 0.4600 0.6284
Pb1 Pb 0.8771 0.0987 0.4685
Pb2 Pb 0.1969 0.1969 0.1969
Pb3 Pb 0.0987 0.4685 0.8771
Pb4 Pb 0.4685 0.8771 0.0987
# - magnetization (μB per atom) = 0.000
# - E (eV/atom) = -5.043
# - formation energy (meV/atom) = -326.3